The following is a PBE-GGA calculation of crystalline LiTbHoCd at its relaxed geometry, from Alexandria via LeMat-Bulk.

* total energy: -50.0 eV for the cell shown

The structure in CIF format:
```
data_LiTbHoCd
_chemical_formula_sum 'Li4 Tb4 Ho4 Cd4'
_cell_length_a 7.4341
_cell_length_b 7.4341
_cell_length_c 7.4341
_cell_angle_alpha 90.00
_cell_angle_beta 90.00
_cell_angle_gamma 90.00
_space_group_name_H-M_alt 'F -4 3 m'
_space_group_IT_number 216
_space_group_name_Hall 'F -4 2 3'
loop_
_atom_site_label
_atom_site_fract_x
_atom_site_fract_y
_atom_site_fract_z
Li1 0.0000 0.0000 0.0000
Tb1 0.2500 0.2500 0.2500
Ho1 0.2500 0.2500 0.7500
Cd1 0.0000 0.0000 0.5000
```

=====

The following is a PBE-GGA calculation of crystalline Nd12Sm2Dy5 at its relaxed geometry, from Alexandria via LeMat-Bulk.

* total energy: -175.7 eV for the cell shown
* offset from the most stable computed form: 0 meV per atom

The structure in CIF format:
```
data_Nd12Sm2Dy5
_chemical_formula_sum 'Nd24 Sm4 Dy10'
_cell_length_a 18.0618
_cell_length_b 11.7807
_cell_length_c 6.2610
_cell_angle_alpha 90.00
_cell_angle_beta 102.58
_cell_angle_gamma 90.00
_space_group_name_H-M_alt 'C 1 2/m 1'
_space_group_IT_number 12
_space_group_name_Hall '-C 2y'
loop_
_atom_site_label
_atom_site_fract_x
_atom_site_fract_y
_atom_site_fract_z
Nd1 0.0559 0.0000 0.2737
Nd2 0.1038 0.2503 0.6156
Nd3 0.1219 0.5000 0.9981
Nd4 0.1979 0.2417 0.1998
Sm1 0.0000 0.2723 0.0000
Dy1 0.0000 0.5000 0.5000
Dy2 0.1774 0.0000 0.8583
Dy3 0.2147 0.5000 0.5501
```

=====

Energy relative to the elements per entry: -113, 97 meV per atom